VASP calculation (PBE) on a relaxed SrLi2Sn4 crystal.

Cell: 4.916 8.630 8.630 Å, 90.00 90.00 90.00°
Element x y z (fractional)
Li  0.500  0.714  0.714
Li  0.500  0.286  0.286
Li  0.000  0.786  0.214
Li  0.000  0.214  0.786
Sn  0.000  0.092  0.336
Sn  0.500  0.408  0.836
Sn  0.500  0.836  0.408
Sn  0.500  0.164  0.592
Sn  0.000  0.336  0.092
Sn  0.000  0.908  0.664
Sn  0.500  0.592  0.164
Sn  0.000  0.664  0.908
Sr  0.500  0.000  0.000
Sr  0.000  0.500  0.500

Values from the calculation:
Excess energy over the best structure of this formula in the dataset in eV/atom: 0.096
DFT formation energy in meV per atom: -272
Space-group type: P4_2/mnm (136)


VASP calculation (PBE) on a relaxed TiTcSn crystal.

Cell: 3.182 7.395 13.576 Å, 90.00 90.00 90.00°
Element x y z (fractional)
Sn  0.000  0.284  0.536
Sn  0.000  0.774  0.750
Sn  0.000  0.716  0.464
Sn  0.000  0.284  0.964
Sn  0.000  0.716  0.036
Sn  0.000  0.226  0.250
Tc  0.500  0.090  0.750
Tc  0.500  0.444  0.121
Tc  0.500  0.556  0.879
Tc  0.500  0.556  0.621
Tc  0.500  0.910  0.250
Tc  0.500  0.444  0.379
Ti  0.000  0.610  0.250
Ti  0.500  0.046  0.094
Ti  0.500  0.954  0.906
Ti  0.500  0.046  0.406
Ti  0.000  0.390  0.750
Ti  0.500  0.954  0.594

Values from the calculation:
Excess energy over the best structure of this formula in the dataset in eV/atom: 0.287
DFT formation energy in meV per atom: 2
Space-group type: Pmma (51)


VASP calculation (PBE) on a relaxed HfTe2Br crystal.

Cell: 9.452 9.452 9.452 Å, 24.67 24.67 24.67°
Element x y z (fractional)
Te  0.104  0.104  0.104
Te  0.896  0.896  0.896
Br  0.000  0.000  0.000
Hf  0.500  0.500  0.500

Values from the calculation:
Formation energy from raw total energies in meV per atom: -563
Excess energy over the best structure of this formula in the dataset in eV/atom: 0.000
Space-group type: R-3m (166)


VASP calculation (PBE) on a relaxed CrBi crystal.

Cell: 8.649 8.953 9.453 Å, 90.00 90.00 90.00°
Element x y z (fractional)
Bi  0.000  0.805  0.000
Bi  0.500  0.695  0.000
Bi  0.000  0.195  0.000
Bi  0.750  0.555  0.750
Bi  0.750  0.445  0.250
Bi  0.500  0.805  0.500
Bi  0.250  0.945  0.250
Bi  0.500  0.305  0.000
Bi  0.000  0.305  0.500
Bi  0.750  0.055  0.250
Bi  0.250  0.555  0.250
Bi  0.750  0.945  0.750
Bi  0.500  0.195  0.500
Bi  0.250  0.445  0.750
Bi  0.250  0.055  0.750
Bi  0.000  0.695  0.500
Cr  0.641  0.250  0.750
Cr  0.609  0.000  0.000
Cr  0.891  0.000  0.500
Cr  0.359  0.250  0.250
Cr  0.859  0.750  0.250
Cr  0.141  0.750  0.750
Cr  0.359  0.750  0.750
Cr  0.609  0.500  0.500
Cr  0.391  0.500  0.500
Cr  0.891  0.500  0.000
Cr  0.859  0.250  0.750
Cr  0.391  0.000  0.000
Cr  0.109  0.000  0.500
Cr  0.109  0.500  0.000
Cr  0.141  0.250  0.250
Cr  0.641  0.750  0.250

Values from the calculation:
DFT formation energy in meV per atom: 663
Space-group type: Fddd (70)


VASP calculation (PBE) on a relaxed Zn4HgAu5 crystal.

Cell: 3.181 3.181 16.838 Å, 90.00 90.00 90.00°
Element x y z (fractional)
Zn  0.000  0.000  0.215
Zn  0.000  0.000  0.595
Zn  0.000  0.000  0.785
Zn  0.000  0.000  0.405
Au  0.500  0.500  0.500
Au  0.500  0.500  0.877
Au  0.500  0.500  0.690
Au  0.500  0.500  0.123
Au  0.500  0.500  0.310
Hg  0.000  0.000  0.000

Values from the calculation:
DFT formation energy in meV per atom: -146
Space-group type: P4/mmm (123)


VASP calculation (PBE) on a relaxed TbPrYHo crystal.

Cell: 3.768 5.899 6.913 Å, 115.26 74.13 90.00°
Element x y z (fractional)
Ho  0.172  0.892  0.783
Pr  0.675  0.391  0.782
Tb  0.429  0.132  0.264
Y  0.910  0.650  0.300

Values from the calculation:
Excess energy over the best structure of this formula in the dataset in eV/atom: 0.000
DFT formation energy in meV per atom: 115
Space-group type: Cm (8)


Number 1: final energy -46.8 eV per cell, Fermi-level density of states 9.5 states/eV per cell. Number 2: final energy -133.5 eV per cell, Fermi-level density of states 11.6 states/eV per cell. Number 3: final energy -20.2 eV per cell, Fermi-level density of states 2.4 states/eV per cell. Number 4: final energy -194.9 eV per cell, Fermi-level density of states 26.8 states/eV per cell. Number 5: final energy -23.2 eV per cell, Fermi-level density of states 2.7 states/eV per cell. Number 6: final energy -20.0 eV per cell, Fermi-level density of states 8.4 states/eV per cell.